[1]
{
  "formula": "NaPu2Pb",
  "functional": "PBE",
  "state": "optimized geometry",
  "cell": [[4.601, 0.000, 0.000], [0.000, 4.601, 0.000], [0.000, 0.000, 5.095]],
  "species": ["Na", "Pu", "Pu", "Pb"],
  "frac_coords": [[0.000, 0.000, 0.000], [0.000, 0.500, 0.500], [0.500, 0.000, 0.500], [0.500, 0.500, 0.000]],
  "magnetic_moment_mub_per_fu": 12.24,
  "n_ef_per_ev_fu": 12.69,
  "space_group": "P4/mmm (123)",
  "formation_enthalpy_0k_ev_per_atom": 0.092
}

[2]
{
  "formula": "NbCo2NiH",
  "functional": "PBE",
  "state": "optimized geometry",
  "cell": [[3.653, 0.000, 0.000], [0.000, 3.653, 0.000], [0.000, 0.000, 3.865]],
  "species": ["Nb", "Co", "Co", "Ni", "H"],
  "frac_coords": [[0.000, 0.000, 0.000], [0.000, 0.500, 0.500], [0.500, 0.000, 0.500], [0.500, 0.500, 0.000], [0.000, 0.000, 0.500]],
  "magnetic_moment_mub_per_fu": 0.00,
  "n_ef_per_ev_fu": 2.90,
  "space_group": "P4/mmm (123)",
  "final_energy_ev_per_fu": -33.9
}

[3]
{
  "formula": "Na2InP2",
  "functional": "PBE",
  "state": "optimized geometry",
  "cell": [[-1.697, 1.697, 9.923], [1.697, -1.697, 9.923], [1.697, 1.697, -9.923]],
  "species": ["Na", "Na", "In", "P", "P"],
  "frac_coords": [[0.123, 0.123, 0.000], [0.877, 0.877, 0.000], [0.500, 0.500, 0.000], [0.250, 0.750, 0.500], [0.750, 0.250, 0.500]],
  "magnetic_moment_mub_per_fu": 0.00,
  "n_ef_per_ev_fu": 1.98,
  "space_group": "I4/mmm (139)",
  "formation_enthalpy_0k_ev_per_atom": -0.054
}

[4]
{
  "formula": "LiHoSi2",
  "functional": "PBE",
  "state": "optimized geometry",
  "cell": [[6.595, 0.000, 0.000], [0.000, 4.100, 0.000], [0.000, 0.000, 10.754]],
  "species": ["Li", "Li", "Li", "Li", "Ho", "Ho", "Ho", "Ho", "Si", "Si", "Si", "Si", "Si", "Si", "Si", "Si"],
  "frac_coords": [[0.139, 0.250, 0.054], [0.361, 0.750, 0.554], [0.639, 0.250, 0.446], [0.861, 0.750, 0.946], [0.149, 0.250, 0.343], [0.351, 0.750, 0.843], [0.649, 0.250, 0.157], [0.851, 0.750, 0.657], [0.029, 0.250, 0.833], [0.173, 0.250, 0.632], [0.327, 0.750, 0.132], [0.471, 0.750, 0.333], [0.529, 0.250, 0.667], [0.673, 0.250, 0.868], [0.827, 0.750, 0.368], [0.971, 0.750, 0.167]],
  "magnetic_moment_mub_per_fu": 0.00,
  "n_ef_per_ev_fu": 0.82,
  "space_group": "Pnma (62)",
  "final_energy_ev_per_fu": -19.6
}

[5]
{
  "formula": "PmGdGaPt",
  "functional": "PBE",
  "state": "optimized geometry",
  "cell": [[0.000, 3.609, 3.609], [3.609, 0.000, 3.609], [3.609, 3.609, 0.000]],
  "species": ["Pm", "Gd", "Ga", "Pt"],
  "frac_coords": [[0.000, 0.000, 0.000], [0.500, 0.500, 0.500], [0.250, 0.250, 0.250], [0.750, 0.750, 0.750]],
  "magnetic_moment_mub_per_fu": 7.06,
  "n_ef_per_ev_fu": 3.24,
  "space_group": "F-43m (216)",
  "formation_enthalpy_0k_ev_per_atom": -0.795
}